The following is a DFT calculation (GGA-PBE) of crystalline LiSn2Hg at its relaxed geometry.

Unit cell a=5.1810 b=5.1810 c=5.1810 alpha=60.00 beta=60.00 gamma=60.00
Last column: nearest neighbours and their distance in Å.
Fractional coordinates of all 4 atoms:
Li (0.0000, 0.0000, 0.0000)  4 Hg 3.17, 4 Sn 3.17
Sn (0.5000, 0.5000, 0.5000)  4 Hg 3.17, 4 Sn 3.17
Sn (0.7500, 0.7500, 0.7500)  4 Sn 3.17, 4 Li 3.17
Hg (0.2500, 0.2500, 0.2500)  4 Sn 3.17, 4 Li 3.17

## Properties
Its energy is -10.6 eV per cell.